[1]
The following is a PBE calculation of crystalline Li2YCu at its relaxed geometry, from Alexandria via LeMat-Bulk.

It has space group I-42d (No. 122), with a = 3.9820 Å, b = 3.9820 Å, c = 20.8867 Å, α = 90.00°, β = 90.00° and γ = 90.00°. The asymmetric unit holds Li at (0.1908, 0.7500, 0.1250), Y at (0.0000, 0.0000, 0.5000) and Cu at (0.0000, 0.0000, 0.0000).

The value obtained for the total energy is -0.12799 hartree per atom. The value obtained for the density of states at the Fermi level is 2.2 states/eV/f.u. The distance to the lowest polymorph of the same formula comes out at 135 meV/atom. The volume is 20.7 Å³/atom.

=====

[2]
The following is a PBE calculation of crystalline GaSnAs at its relaxed geometry, from Alexandria via LeMat-Bulk.

It has space group P2_1/m (No. 11), with a = 5.1123 Å, b = 4.0090 Å, c = 6.9123 Å, α = 90.00°, β = 90.62° and γ = 90.00°. The asymmetric unit holds Ga at (0.1884, 0.2500, 0.4396), Sn at (0.2043, 0.7500, 0.8921) and As at (0.4702, 0.7500, 0.2636).

The value obtained for the total energy is -0.14441 hartree per atom. The value obtained for the density of states at the Fermi level is 1.1 states/eV/f.u. The distance to the lowest polymorph of the same formula comes out at 0 meV/atom. The volume is 23.6 Å³/atom.

=====

[3]
The following is a PBE calculation of crystalline TlPtPbCl6 at its relaxed geometry, from Alexandria via LeMat-Bulk.

It has space group C2 (No. 5), with a = 7.1738 Å, b = 12.1710 Å, c = 6.7973 Å, α = 90.00°, β = 91.44° and γ = 90.00°. The asymmetric unit holds Tl at (0.0000, 0.0000, 0.0000), Pt at (0.0000, 0.3433, 0.5000), Pb at (0.0000, 0.6864, 0.5000), Cl at (0.1347, 0.4797, 0.7045), Cl at (0.1428, 0.2078, 0.7007) and Cl at (0.2049, 0.8361, 0.7354).

The value obtained for the total energy is -0.12256 hartree per atom. The volume is 33.0 Å³/atom.